Compound: Ca5Co
Source: Alexandria
Functional: GGA-PBE
Structure: relaxed

a = 6.886 Å, b = 6.886 Å, c = 6.886 Å
α = 60.00°, β = 60.00°, γ = 60.00°
Sites, in units of the cell vectors:
Ca  0.000  0.000  0.000
Ca  0.127  0.624  0.624
Ca  0.624  0.127  0.624
Ca  0.624  0.624  0.127
Ca  0.624  0.624  0.624
Co  0.250  0.250  0.250

As for the magnetic moment: 2.259 μB/cell. Its space group is F-43m (216). The crystal system is cubic. The value obtained for the energy above the lowest structure with this stoichiometry is 12.05 kcal/mol of atoms. The formation energy comes out at 0.6799 eV/atom. Its uncorrected energy is -2.172 eV per atom.